No. 1
GGA-PBE TmGa2CoRu, optimized geometry; size of the total moment = 0.000 μB/atom; ΔE_f = -387 meV/atom; density = 9.1 g/cm3
1.0
4.222 0.000 0.000
0.000 4.222 0.000
-2.111 -2.111 4.788
Ga Co Ru Tm
2 1 1 1
Direct
0.369 0.369 0.738
0.631 0.631 0.262
0.250 0.750 0.500
0.750 0.250 0.500
0.000 0.000 0.000


No. 2
GGA-PBE Tm2Ga5CoRu2, optimized geometry; size of the total moment = 0.018 μB/atom; ΔE_f = -360 meV/atom; density = 9.3 g/cm3
1.0
3.144 0.000 0.000
0.000 10.356 0.000
0.000 0.000 10.356
Ga Ru Co Tm
10 4 2 4
Direct
0.500 0.055 0.816
0.500 0.184 0.055
0.500 0.945 0.184
0.500 0.684 0.445
0.500 0.816 0.945
0.500 0.500 0.000
0.500 0.445 0.316
0.500 0.555 0.684
0.500 0.316 0.555
0.500 0.000 0.500
0.000 0.631 0.869
0.000 0.869 0.369
0.000 0.369 0.131
0.000 0.131 0.631
0.000 0.000 0.000
0.000 0.500 0.500
0.000 0.820 0.680
0.000 0.680 0.180
0.000 0.320 0.820
0.000 0.180 0.320